First-principles (PBE) data for a relaxed structure of PrNd3Er12, as listed in the Alexandria database.

```
data_PrNd3Er12
_chemical_formula_sum 'Pr1 Nd3 Er12'
_symmetry_space_group_name_H-M 'P 4/m m m'
_symmetry_Int_Tables_number 123
_symmetry_space_group_name_Hall '-P 4 2'
_cell_length_a 5.022
_cell_length_b 5.022
_cell_length_c 20.097
_cell_angle_alpha 90.00
_cell_angle_beta 90.00
_cell_angle_gamma 90.00
loop_
_atom_site_label
_atom_site_fract_x
_atom_site_fract_y
_atom_site_fract_z
_atom_site_occupancy
Pr1 0.000 0.000 0.000 1
Nd1 0.000 0.000 0.250 1
Nd2 0.000 0.000 0.500 1
Er1 0.000 0.500 0.125 1
Er2 0.000 0.500 0.375 1
Er3 0.500 0.500 0.000 1
Er4 0.500 0.500 0.250 1
Er5 0.500 0.500 0.500 1
```

***

# Pr2Nd4Er3 | the Alexandria database | PBE | relaxed
# Relative energy among the computed polymorphs   0.000 eV per atom
data_Pr2Nd4Er3
_chemical_formula_sum 'Pr4 Nd8 Er6'
_symmetry_space_group_name_H-M 'C 1 2/m 1'
_symmetry_Int_Tables_number 12
_cell_length_a 11.493
_cell_length_b 5.140
_cell_length_c 10.880
_cell_angle_alpha 90.00
_cell_angle_beta 108.34
_cell_angle_gamma 90.00
loop_
_symmetry_equiv_pos_as_xyz
'x,y,z'
'-x,-y,-z'
'-x,y,-z'
'x,-y,z'
'x+1/2,y+1/2,z'
'-x+1/2,-y+1/2,-z'
'-x+1/2,y+1/2,-z'
'x+1/2,-y+1/2,z'
loop_
_atom_site_label
_atom_site_fract_x
_atom_site_fract_y
_atom_site_fract_z
_atom_site_occupancy
Pr1 0.167 0.000 0.225 1
Nd1 0.002 0.500 0.335 1
Nd2 0.166 0.000 0.888 1
Er1 0.000 0.500 0.000 1
Er2 0.165 0.000 0.554 1

***

# Pr3Nd2Er3 | the Alexandria database | PBE | relaxed
# Relative energy among the computed polymorphs   0.000 eV per atom
data_Pr3Nd2Er3
_chemical_formula_sum 'Pr6 Nd4 Er6'
_symmetry_space_group_name_H-M 'I m m m'
_symmetry_Int_Tables_number 71
_symmetry_space_group_name_Hall '-I 2 2'
_cell_length_a 5.105
_cell_length_b 5.149
_cell_length_c 20.536
_cell_angle_alpha 90.00
_cell_angle_beta 90.00
_cell_angle_gamma 90.00
loop_
_atom_site_label
_atom_site_fract_x
_atom_site_fract_y
_atom_site_fract_z
_atom_site_occupancy
Pr1 0.000 0.000 0.000 1
Pr2 0.000 0.500 0.123 1
Nd1 0.000 0.000 0.249 1
Er1 0.000 0.000 0.500 1
Er2 0.000 0.500 0.375 1

***

First-principles (PBE) data for a relaxed structure of Pr7Nd5Er, as listed in the Alexandria database.

```
data_Pr7Nd5Er
_chemical_formula_sum 'Pr14 Nd10 Er2'
_symmetry_space_group_name_H-M 'I m m 2'
_symmetry_Int_Tables_number 44
_cell_length_a 6.902
_cell_length_b 11.361
_cell_length_c 12.022
_cell_angle_alpha 90.00
_cell_angle_beta 90.00
_cell_angle_gamma 90.00
loop_
_symmetry_equiv_pos_as_xyz
'x,y,z'
'-x,-y,z'
'-x,y,z'
'x,-y,z'
'x+1/2,y+1/2,z+1/2'
'-x+1/2,-y+1/2,z+1/2'
'-x+1/2,y+1/2,z+1/2'
'x+1/2,-y+1/2,z+1/2'
loop_
_atom_site_label
_atom_site_fract_x
_atom_site_fract_y
_atom_site_fract_z
_atom_site_occupancy
Pr1 0.000 0.000 0.000 1
Pr2 0.000 0.000 0.309 1
Pr3 0.000 0.317 0.757 1
Pr4 0.000 0.332 0.252 1
Pr5 0.000 0.500 0.495 1
Nd1 0.000 0.500 0.975 1
Nd2 0.226 0.224 0.515 1
Er1 0.000 0.000 0.695 1
```

***

First-principles (PBE) data for a relaxed structure of Pr4Nd15Er, as listed in the Alexandria database.

```
data_Pr4Nd15Er
_chemical_formula_sum 'Pr4 Nd15 Er1'
_symmetry_space_group_name_H-M 'P 4/m m m'
_symmetry_Int_Tables_number 123
_symmetry_space_group_name_Hall '-P 4 2'
_cell_length_a 5.210
_cell_length_b 5.210
_cell_length_c 25.973
_cell_angle_alpha 90.00
_cell_angle_beta 90.00
_cell_angle_gamma 90.00
loop_
_atom_site_label
_atom_site_fract_x
_atom_site_fract_y
_atom_site_fract_z
_atom_site_occupancy
Pr1 0.000 0.000 0.100 1
Pr2 0.000 0.000 0.301 1
Nd1 0.000 0.500 0.000 1
Nd2 0.000 0.500 0.201 1
Nd3 0.000 0.500 0.402 1
Nd4 0.500 0.500 0.100 1
Nd5 0.500 0.500 0.302 1
Nd6 0.500 0.500 0.500 1
Er1 0.000 0.000 0.500 1
```

***

First-principles (PBE) data for a relaxed structure of Pr4NdEr4, as listed in the Alexandria database.

```
data_Pr4NdEr4
_chemical_formula_sum 'Pr8 Nd2 Er8'
_symmetry_space_group_name_H-M 'I 4/m m m'
_symmetry_Int_Tables_number 139
_symmetry_space_group_name_Hall '-I 4 2'
_cell_length_a 10.863
_cell_length_b 10.863
_cell_length_c 5.117
_cell_angle_alpha 90.00
_cell_angle_beta 90.00
_cell_angle_gamma 90.00
loop_
_atom_site_label
_atom_site_fract_x
_atom_site_fract_y
_atom_site_fract_z
_atom_site_occupancy
Pr1 0.168 0.168 0.000 1
Nd1 0.000 0.000 0.500 1
Er1 0.000 0.337 0.500 1
```

***

# Pr2Nd5Er3 | the Alexandria database | PBE | relaxed
# Relative energy among the computed polymorphs   0.000 eV per atom
data_Pr2Nd5Er3
_chemical_formula_sum 'Pr8 Nd20 Er12'
_symmetry_space_group_name_H-M 'C 1 2/c 1'
_symmetry_Int_Tables_number 15
_cell_length_a 10.996
_cell_length_b 15.582
_cell_length_c 9.777
_cell_angle_alpha 90.00
_cell_angle_beta 123.88
_cell_angle_gamma 90.00
loop_
_symmetry_equiv_pos_as_xyz
'x,y,z'
'-x,-y,-z'
'-x,y,-z+1/2'
'x,-y,z+1/2'
'x+1/2,y+1/2,z'
'-x+1/2,-y+1/2,-z'
'-x+1/2,y+1/2,-z+1/2'
'x+1/2,-y+1/2,z+1/2'
loop_
_atom_site_label
_atom_site_fract_x
_atom_site_fract_y
_atom_site_fract_z
_atom_site_occupancy
Pr1 0.145 0.122 0.054 1
Nd1 0.000 0.230 0.250 1
Nd2 0.000 0.268 0.750 1
Nd3 0.000 0.468 0.750 1
Nd4 0.234 0.383 0.224 1
Er1 0.000 0.024 0.250 1
Er2 0.158 0.380 0.547 1

***

# Pr2Nd5Er2 | the Alexandria database | PBE | relaxed
# Relative energy among the computed polymorphs   0.177 eV per atom
data_Pr2Nd5Er2
_chemical_formula_sum 'Pr8 Nd20 Er8'
_symmetry_space_group_name_H-M 'I m a 2'
_symmetry_Int_Tables_number 46
_cell_length_a 13.124
_cell_length_b 8.636
_cell_length_c 11.106
_cell_angle_alpha 90.00
_cell_angle_beta 90.00
_cell_angle_gamma 90.00
loop_
_symmetry_equiv_pos_as_xyz
'x,y,z'
'-x,-y,z'
'-x+1/2,y,z'
'x+1/2,-y,z'
'x+1/2,y+1/2,z+1/2'
'-x+1/2,-y+1/2,z+1/2'
'-x,y+1/2,z+1/2'
'x,-y+1/2,z+1/2'
loop_
_atom_site_label
_atom_site_fract_x
_atom_site_fract_y
_atom_site_fract_z
_atom_site_occupancy
Pr1 0.000 0.000 0.000 1
Pr2 0.250 0.102 0.141 1
Nd1 0.078 0.690 0.748 1
Nd2 0.133 0.061 0.748 1
Nd3 0.250 0.749 0.988 1
Er1 0.112 0.118 0.448 1

***

# Pr4Nd5Er | the Alexandria database | PBE | relaxed
# Relative energy among the computed polymorphs   0.000 eV per atom
data_Pr4Nd5Er
_chemical_formula_sum 'Pr8 Nd10 Er2'
_symmetry_space_group_name_H-M 'C 1 2/m 1'
_symmetry_Int_Tables_number 12
_cell_length_a 19.108
_cell_length_b 3.678
_cell_length_c 10.404
_cell_angle_alpha 90.00
_cell_angle_beta 105.96
_cell_angle_gamma 90.00
loop_
_symmetry_equiv_pos_as_xyz
'x,y,z'
'-x,-y,-z'
'-x,y,-z'
'x,-y,z'
'x+1/2,y+1/2,z'
'-x+1/2,-y+1/2,-z'
'-x+1/2,y+1/2,-z'
'x+1/2,-y+1/2,z'
loop_
_atom_site_label
_atom_site_fract_x
_atom_site_fract_y
_atom_site_fract_z
_atom_site_occupancy
Pr1 0.099 0.000 0.297 1
Pr2 0.199 0.500 0.100 1
Nd1 0.000 0.500 0.500 1
Nd2 0.099 0.000 0.802 1
Nd3 0.200 0.500 0.600 1
Er1 0.000 0.500 0.000 1

***

# Pr8Nd3Er2 | the Alexandria database | PBE | relaxed
# Relative energy among the computed polymorphs   0.056 eV per atom
data_Pr8Nd3Er2
_chemical_formula_sum 'Pr16 Nd6 Er4'
_symmetry_space_group_name_H-M 'C 1 2/m 1'
_symmetry_Int_Tables_number 12
_cell_length_a 20.618
_cell_length_b 7.797
_cell_length_c 5.873
_cell_angle_alpha 90.00
_cell_angle_beta 90.03
_cell_angle_gamma 90.00
loop_
_symmetry_equiv_pos_as_xyz
'x,y,z'
'-x,-y,-z'
'-x,y,-z'
'x,-y,z'
'x+1/2,y+1/2,z'
'-x+1/2,-y+1/2,-z'
'-x+1/2,y+1/2,-z'
'x+1/2,-y+1/2,z'
loop_
_atom_site_label
_atom_site_fract_x
_atom_site_fract_y
_atom_site_fract_z
_atom_site_occupancy
Pr1 0.108 0.208 0.000 1
Pr2 0.135 0.500 0.499 1
Pr3 0.175 0.000 0.501 1
Nd1 0.000 0.213 0.500 1
Nd2 0.000 0.500 0.000 1
Er1 0.241 0.500 0.999 1

***

First-principles (PBE) data for a relaxed structure of Pr4Nd4Er, as listed in the Alexandria database.

```
data_Pr4Nd4Er
_chemical_formula_sum 'Pr8 Nd8 Er2'
_symmetry_space_group_name_H-M 'I 4/m m m'
_symmetry_Int_Tables_number 139
_symmetry_space_group_name_Hall '-I 4 2'
_cell_length_a 11.033
_cell_length_b 11.033
_cell_length_c 5.197
_cell_angle_alpha 90.00
_cell_angle_beta 90.00
_cell_angle_gamma 90.00
loop_
_atom_site_label
_atom_site_fract_x
_atom_site_fract_y
_atom_site_fract_z
_atom_site_occupancy
Pr1 0.166 0.166 0.000 1
Nd1 0.000 0.333 0.500 1
Er1 0.000 0.000 0.500 1
```

***

# Pr7NdEr3 | the Alexandria database | PBE | relaxed
# Relative energy among the computed polymorphs   0.000 eV per atom
data_Pr7NdEr3
_chemical_formula_sum 'Pr7 Nd1 Er3'
_symmetry_space_group_name_H-M 'P 3 m 1'
_symmetry_Int_Tables_number 156
_cell_length_a 7.2749
_cell_length_b 7.2749
_cell_length_c 8.7085
_cell_angle_alpha 90.00
_cell_angle_beta 90.00
_cell_angle_gamma 120.00
loop_
_symmetry_equiv_pos_as_xyz
'x,y,z'
'-y,x-y,z'
'-x+y,-x,z'
'-y,-x,z'
'-x+y,y,z'
'x,x-y,z'
loop_
_atom_site_label
_atom_site_fract_x
_atom_site_fract_y
_atom_site_fract_z
_atom_site_occupancy
Pr1 0.0000 0.0000 0.0000 1
Pr2 0.0003 0.5002 0.9789 1
Pr3 0.1670 0.3339 0.3358 1
Nd1 0.6667 0.3333 0.3151 1
Er1 0.3337 0.1669 0.6569 1

***

Number 1: energy relative to the elements 0.025 eV/atom. Number 2: energy relative to the elements 0.018 eV/atom. Number 3: energy relative to the elements 0.019 eV/atom. Number 4: energy relative to the elements 0.219 eV/atom. Number 5: energy relative to the elements 0.014 eV/atom. Number 6: energy relative to the elements 0.024 eV/atom. Number 7: energy relative to the elements 0.181 eV/atom. Number 8: energy relative to the elements 0.192 eV/atom. Number 9: energy relative to the elements 0.012 eV/atom. Number 10: energy relative to the elements 0.205 eV/atom. Number 11: energy relative to the elements 0.014 eV/atom. Number 12: energy relative to the elements 0.186 eV/atom.